Entry 1:
Computed, not measured: Tm2MgSb2 after structural relaxation at the PBE level of DFT.

Crystal system = orthorhombic
Total DFT energy (no corrections) = -4.427 eV/atom

Unit cell a=9.475 b=9.475 c=6.448 alpha=90.00 beta=90.00 gamma=152.75
Positions (direct):
Tm1 0.014 0.986 0.500
Tm2 0.198 0.802 0.181
Tm3 0.802 0.198 0.681
Tm4 0.986 0.014 0.000
Mg1 0.400 0.600 0.284
Mg2 0.600 0.400 0.784
Sb1 0.186 0.814 0.673
Sb2 0.417 0.583 0.729
Sb3 0.583 0.417 0.229
Sb4 0.814 0.186 0.173

---

Entry 2:
Computed, not measured: MgZrSb2 after structural relaxation at the PBE level of DFT.

Crystal system = cubic
Total DFT energy (no corrections) = -4.468 eV/atom

Unit cell a=5.148 b=5.148 c=5.148 alpha=60.00 beta=60.00 gamma=60.00
Positions (direct):
Mg1 0.000 0.000 0.000
Zr1 0.250 0.250 0.250
Sb1 0.500 0.500 0.500
Sb2 0.750 0.750 0.750